Record 1
Entry from the Alexandria database: an optimized crystal structure of K3YBi (PBEsol).

The calculated formation energy comes out at 1.01 eV per atom. The calculation puts the energy at -9.470 eV per cell. Its density of states at the Fermi level is 7.7 states/eV/f.u.

It has space group Pm-3m (No. 221), with a = 6.556 Å, b = 6.556 Å, c = 6.556 Å, α = 90.00°, β = 90.00° and γ = 90.00°. The distinct sites, in fractional coordinates, are K at (0.000, 0.000, 0.500), Y at (0.000, 0.000, 0.000) and Bi at (0.500, 0.500, 0.500).



Record 2
Entry from the Alexandria database: an optimized crystal structure of KY2Bi (PBEsol).

The calculated formation energy comes out at 0.38 eV per atom. The calculation puts the energy at -70.219 eV per cell. Its density of states at the Fermi level is 5.3 states/eV/f.u.

It has space group I4_1/amd (No. 141, origin choice 2), with a = 6.020 Å, b = 6.020 Å, c = 21.411 Å, α = 90.00°, β = 90.00° and γ = 90.00°. The distinct sites, in fractional coordinates, are K at (0.000, 0.250, 0.375), Y at (0.000, 0.000, 0.000) and Bi at (0.000, 0.250, 0.875).



Record 3
Entry from the Alexandria database: an optimized crystal structure of KY2Bi (PBEsol).

The calculated formation energy comes out at 0.05 eV per atom. The calculation puts the energy at -75.440 eV per cell. Its density of states at the Fermi level is 5.2 states/eV/f.u.

It has space group Fm-3m (No. 225), with a = 7.766 Å, b = 7.766 Å, c = 7.766 Å, α = 90.00°, β = 90.00° and γ = 90.00°. The distinct sites, in fractional coordinates, are K at (0.000, 0.000, 0.000), Y at (0.250, 0.250, 0.250) and Bi at (0.000, 0.000, 0.500).